GeSbRuN2 at its PBEsol-relaxed geometry. Source: Alexandria via LeMat-Bulk, functional SCAN.

```
GeSbRuN2
1.0
3.825 0.000 0.000
0.000 3.825 0.000
0.000 0.000 5.510
Sb Ge N Ru
1 1 2 1
direct
0.000 0.000 0.500
0.500 0.500 0.500
0.000 0.500 0.000
0.500 0.000 0.000
0.000 0.000 0.000
```

Calculated values
raw formation energy = 0.872 eV/atom